i:
## NdTh2Ga (PBE)

Data for an optimized crystal structure of NdTh2Ga.

Structure (extended XYZ):
```
4
Lattice="-3.024 -2.915 2.539 2.178 -3.880 -1.862 3.113 -0.021 3.684" Properties=species:S:1:pos:R:3 pbc="T T T"
Ga -1.512 -1.458 1.269
Th 1.557 -0.010 1.842
Th 1.089 -1.940 -0.931
Nd 1.133 -3.408 2.180
```

Properties
DOS(E_F)   4.09 states/eV/f.u.
Density   9.9 g cm⁻³



ii:
## NdTh2Ga (PBE)

Data for an optimized crystal structure of NdTh2Ga.

Structure (extended XYZ):
```
4
Lattice="-0.218 1.370 3.671 -3.440 -1.828 0.478 3.669 -6.241 2.546" Properties=species:S:1:pos:R:3 pbc="T T T"
Ga -1.829 -0.229 2.075
Nd 0.006 -3.349 3.348
Th 2.930 -4.983 2.033
Th 0.740 -1.258 0.513
```

Properties
DOS(E_F)   7.03 states/eV/f.u.
Density   9.5 g cm⁻³



iii:
## NdTh2Ga (PBE)

Data for an optimized crystal structure of NdTh2Ga.

Structure (extended XYZ):
```
4
Lattice="-1.072 2.380 -2.219 -3.339 0.304 -0.705 -2.637 8.633 7.888" Properties=species:S:1:pos:R:3 pbc="T T T"
Nd 0.000 0.000 0.000
Th -4.748 4.919 -0.364
Th -2.300 6.398 5.328
Ga -3.524 5.658 2.482
```

Properties
DOS(E_F)   5.08 states/eV/f.u.
Density   9.4 g cm⁻³



Of all the structures shown, which is most stable? i, and iii is the least stable.